Entry 1:
Computed, not measured: a relaxed Ac2ScSi3Pd4 crystal at the PBE level of DFT.

Properties
Symmetry: P-4m2 (115)

Cell and atoms, written as POSCAR:
```
Ac2ScSi3Pd4
1.0
-2.626 0.223 -3.513
-0.961 -4.262 0.447
-8.147 2.494 6.250
Sc Si Pd Ac
1 3 4 2
direct
0.500 0.500 0.500
0.000 0.500 0.119
0.000 0.000 0.500
0.500 0.000 0.881
0.000 0.500 0.356
0.500 0.500 0.000
0.500 0.000 0.644
0.000 0.000 0.000
0.000 0.500 0.762
0.500 0.000 0.238
```


Entry 2:
Computed, not measured: a relaxed Ac2ScSi3Pd12 crystal at the PBE level of DFT.

Properties
Symmetry: R-3m (166)

Cell and atoms, written as POSCAR:
```
Ac2ScSi3Pd12
1.0
6.744 -1.438 -1.020
2.080 6.575 -1.020
2.080 1.211 6.542
Pd Ac Si Sc
12 2 3 1
direct
0.320 0.824 0.824
0.824 0.824 0.320
0.923 0.359 0.359
0.641 0.077 0.641
0.680 0.176 0.176
0.641 0.641 0.077
0.077 0.641 0.641
0.359 0.923 0.359
0.359 0.359 0.923
0.176 0.680 0.176
0.824 0.320 0.824
0.176 0.176 0.680
0.367 0.367 0.367
0.633 0.633 0.633
0.000 0.000 0.500
0.000 0.500 0.000
0.500 0.000 0.000
0.000 0.000 0.000
```


These records have formation energy without anion corrections values of -0.8625, -0.4983 eV/atom, in the order they appear.